ZnFe2Co: optimized geometry, PBEsol.

```
ZnFe2Co
1.0
8.882 0.000 0.000
0.000 2.872 0.000
-1.751 0.000 3.546
Zn Fe Co
2 4 2
Direct
0.000 0.000 0.000
0.500 0.500 0.000
0.240 0.000 0.740
0.260 0.500 0.260
0.740 0.500 0.740
0.760 0.000 0.260
0.000 0.500 0.500
0.500 0.000 0.500
```

## Properties
DOS at the Fermi energy, states/eV/atom: 0.9670
ΔH_f (0 K), kcal/mol of atoms: 1.04
Magnetic moment, μB per atom: 1.49
Calculated volume, Å³/f.u.: 45.2

=====

Rb3BaTa: optimized geometry, PBEsol.

```
Rb3BaTa
1.0
6.939 0.000 0.000
0.000 6.939 0.000
0.000 0.000 6.939
Rb Ba Ta
3 1 1
Direct
0.000 0.000 0.500
0.000 0.500 0.000
0.500 0.000 0.000
0.500 0.500 0.500
0.000 0.000 0.000
```

## Properties
DOS at the Fermi energy, states/eV/atom: 1.3520
ΔH_f (0 K), kcal/mol of atoms: 32.80
Magnetic moment, μB per atom: 0.94
Calculated volume, Å³/f.u.: 334.1

=====

What is the calculated volume in the second record?
334.1 Å³/f.u.

=====

The lowest DOS at the Fermi energy belongs to which entry?
ZnFe2Co

=====

DOS at the Fermi energy of number 2 (Rb3BaTa)?
1.3520 states/eV/atom

=====

The lowest DOS at the Fermi energy belongs to which entry?
ZnFe2Co